This record from the Alexandria database describes a relaxed Al4Te5 crystal. The functional is PBE-GGA.

Values from the calculation:
The density of states at the Fermi level is 5.56 states/eV/f.u. The calculation puts the uncorrected formation energy at 6.1 kcal/mol of atoms. As for the space group: I4/mmm.

a = 7.9195 Å, b = 7.9195 Å, c = 7.9195 Å
α = 93.28°, β = 93.28°, γ = 152.31°
With the nearest neighbours (Å) after each atom.
Fractional coordinates of all 9 atoms:
Al (0.0000, 0.3559, 0.3559)  5 Al 2.92-3.13
Al (0.0000, 0.6441, 0.6441)  5 Al 2.92-3.13
Al (0.3559, 0.0000, 0.3559)  5 Al 2.92-3.13
Al (0.6441, 0.0000, 0.6441)  5 Al 2.92-3.13
Te (0.0000, 0.0000, 0.0000)  8 Te 3.24
Te (0.3290, 0.3290, 0.6579)  4 Te 3.08-3.24, 4 Al 3.33
Te (0.3290, 0.6710, 0.0000)  4 Te 3.08-3.24, 4 Al 3.33
Te (0.6710, 0.3290, 0.0000)  4 Te 3.08-3.24, 4 Al 3.33
Te (0.6710, 0.6710, 0.3421)  4 Te 3.08-3.24, 4 Al 3.33



This record from the Alexandria database describes a relaxed YP2OsCl crystal. The functional is PBE-GGA.

Values from the calculation:
The density of states at the Fermi level is 6.58 states/eV/f.u. The calculation puts the uncorrected formation energy at 27.2 kcal/mol of atoms. As for the space group: P4/mmm.

a = 5.3427 Å, b = 5.3427 Å, c = 4.9711 Å
α = 90.00°, β = 90.00°, γ = 90.00°
With the nearest neighbours (Å) after each atom.
Fractional coordinates of all 5 atoms:
Y (0.0000, 0.0000, 0.0000)  2 Cl 2.49, 4 P 2.67
P (0.0000, 0.5000, 0.0000)  2 Y 2.67
P (0.5000, 0.0000, 0.0000)  2 Y 2.67
Os (0.5000, 0.5000, 0.5000)  8 P 3.65, 4 Cl 3.78
Cl (0.0000, 0.0000, 0.5000)  2 Y 2.49



This record from the Alexandria database describes a relaxed ScNiW2 crystal. The functional is PBE-GGA.

Values from the calculation:
The density of states at the Fermi level is 4.00 states/eV/f.u. For the formation energy, the calculation gives 4.04 kcal/mol of atoms. As for the space group: Pm.

a = 2.7462 Å, b = 4.3406 Å, c = 5.4675 Å
α = 90.00°, β = 100.03°, γ = 90.00°
With the nearest neighbours (Å) after each atom.
Fractional coordinates of all 4 atoms:
Sc (0.0000, 0.0000, 0.0000)  2 Ni 2.71, 2 Sc 2.75, 4 W 2.81-2.86
Ni (0.2824, 0.5000, 0.7638)  2 Sc 2.71, 4 W 2.72-2.88, 2 Ni 2.75
W (0.5062, 0.0000, 0.5040)  4 W 2.61-2.75, 2 Ni 2.72, 2 Sc 2.81-2.86
W (0.7218, 0.5000, 0.2812)  4 W 2.61-2.75, 2 Ni 2.81-2.88, 2 Sc 2.84



This record from the Alexandria database describes a relaxed SbIrBr2 crystal. The functional is PBE-GGA.

Values from the calculation:
The density of states at the Fermi level is 1.61 states/eV/f.u. The calculation puts the uncorrected formation energy at 5.7 kcal/mol of atoms. As for the space group: Imm2.

a = 3.4611 Å, b = 4.7178 Å, c = 12.1407 Å
α = 90.00°, β = 90.00°, γ = 90.00°
With the nearest neighbours (Å) after each atom.
Fractional coordinates of all 8 atoms:
Sb (0.0000, 0.0000, 0.0000)  2 Ir 2.59
Sb (0.5000, 0.5000, 0.5000)  2 Ir 2.59
Ir (0.0000, 0.5000, 0.3411)  2 Sb 2.59
Ir (0.5000, 0.0000, 0.8411)  2 Sb 2.59
Br (0.0000, 0.0000, 0.6397)  2 Ir 3.00
Br (0.0000, 0.5000, 0.8428)  4 Ir 2.93, 2 Sb 3.03
Br (0.5000, 0.0000, 0.3428)  4 Ir 2.93, 2 Sb 3.03
Br (0.5000, 0.5000, 0.1397)  2 Ir 3.00



This record from the Alexandria database describes a relaxed ScTl2Te3 crystal. The functional is PBE-GGA.

Values from the calculation:
The density of states at the Fermi level is 0.22 states/eV/f.u. The calculation puts the uncorrected formation energy at -15.3 kcal/mol of atoms. As for the space group: C2/m.

a = 7.9766 Å, b = 7.9766 Å, c = 8.1081 Å
α = 99.62°, β = 99.62°, γ = 121.59°
With the nearest neighbours (Å) after each atom.
Fractional coordinates of all 12 atoms:
Sc (0.1913, 0.8087, 0.0000)  6 Te 2.85-3.02
Sc (0.8087, 0.1913, 0.0000)  6 Te 2.85-3.02
Tl (0.0000, 0.0000, 0.5000)  6 Te 3.39-3.47
Tl (0.3480, 0.6520, 0.5000)  4 Te 3.23-3.54
Tl (0.5000, 0.5000, 0.0000)  6 Te 3.34-3.45
Tl (0.6520, 0.3480, 0.5000)  4 Te 3.23-3.54
Te (0.0445, 0.4166, 0.7698)  2 Sc 2.85-3.00
Te (0.1553, 0.1553, 0.1574)  1 Te 2.85, 2 Sc 3.02
Te (0.4166, 0.0445, 0.7698)  2 Sc 2.85-3.00
Te (0.5834, 0.9555, 0.2302)  2 Sc 2.85-3.00
Te (0.8447, 0.8447, 0.8426)  1 Te 2.85, 2 Sc 3.02
Te (0.9555, 0.5834, 0.2302)  2 Sc 2.85-3.00



This record from the Alexandria database describes a relaxed HoMg2In3 crystal. The functional is PBE-GGA.

Values from the calculation:
The density of states at the Fermi level is 3.12 states/eV/f.u. For the formation energy, the calculation gives -6.36 kcal/mol of atoms. As for the space group: Cmmm.

a = 4.5650 Å, b = 13.9904 Å, c = 4.4706 Å
α = 90.00°, β = 90.00°, γ = 90.00°
With the nearest neighbours (Å) after each atom.
Fractional coordinates of all 12 atoms:
Ho (0.0000, 0.0000, 0.0000)  8 In 3.19-3.26, 4 Mg 3.31
Ho (0.5000, 0.5000, 0.0000)  8 In 3.19-3.26, 4 Mg 3.31
Mg (0.0000, 0.3283, 0.0000)  8 In 3.15-3.28, 2 Mg 3.16, 2 Ho 3.31
Mg (0.0000, 0.6717, 0.0000)  8 In 3.15-3.28, 2 Mg 3.16, 2 Ho 3.31
Mg (0.5000, 0.1717, 0.0000)  8 In 3.15-3.28, 2 Mg 3.16, 2 Ho 3.31
Mg (0.5000, 0.8283, 0.0000)  8 In 3.15-3.28, 2 Mg 3.16, 2 Ho 3.31
In (0.0000, 0.1700, 0.5000)  6 Mg 3.15-3.19, 4 In 3.20-3.30, 2 Ho 3.26
In (0.0000, 0.5000, 0.5000)  4 Ho 3.19, 4 Mg 3.28, 4 In 3.30
In (0.0000, 0.8300, 0.5000)  6 Mg 3.15-3.19, 4 In 3.20-3.30, 2 Ho 3.26
In (0.5000, 0.0000, 0.5000)  4 Ho 3.19, 4 Mg 3.28, 4 In 3.30
In (0.5000, 0.3300, 0.5000)  6 Mg 3.15-3.19, 4 In 3.20-3.30, 2 Ho 3.26
In (0.5000, 0.6700, 0.5000)  6 Mg 3.15-3.19, 4 In 3.20-3.30, 2 Ho 3.26



| no. | E_tot (eV for the cell shown) | M_tot (μB per formula unit) | theoretical density (g/cm3) |
| --- | --- | --- | --- |
| 1 | -28.29 | 0.00 | 5.53 |
| 2 | -24.47 | 3.16 | 4.41 |
| 3 | -37.32 | 0.00 | 12.20 |
| 4 | -30.68 | 0.00 | 7.94 |
| 5 | -48.95 | 0.00 | 6.73 |
| 6 | -35.28 | 0.00 | 6.49 |